# 1
# Pm4Bi2Rh PBE optimized geometry
# - ΔE to the lowest computed polymorph (meV/atom) = 109.8
# - raw total energy (eV per atom) = -5.453
# - crystal system = tetragonal
# - formation energy (eV per atom) = -0.579
data_Pm4Bi2Rh
_symmetry_space_group_name_H-M 'I 4/m m m'
_symmetry_Int_Tables_number 139
_symmetry_space_group_name_Hall '-I 4 2'
_cell_length_a 5.261
_cell_length_b 5.261
_cell_length_c 16.946
_cell_angle_alpha 90.00
_cell_angle_beta 90.00
_cell_angle_gamma 90.00
loop_
_atom_site_label
_atom_site_type_symbol
_atom_site_fract_x
_atom_site_fract_y
_atom_site_fract_z
_atom_site_occupancy
Pm1 Pm 0.000 0.000 0.172 1
Pm2 Pm 0.000 0.500 0.000 1
Bi1 Bi 0.000 0.000 0.362 1
Rh1 Rh 0.000 0.000 0.000 1

***

# 2
# Zr2InRu PBE optimized geometry
# - raw total energy (eV per atom) = -7.569
# - crystal system = orthorhombic
# - formation energy (eV per atom) = -0.291
data_Zr2InRu
_symmetry_space_group_name_H-M 'I m m m'
_symmetry_Int_Tables_number 71
_symmetry_space_group_name_Hall '-I 2 2'
_cell_length_a 3.742
_cell_length_b 4.917
_cell_length_c 8.757
_cell_angle_alpha 90.00
_cell_angle_beta 90.00
_cell_angle_gamma 90.00
loop_
_atom_site_label
_atom_site_type_symbol
_atom_site_fract_x
_atom_site_fract_y
_atom_site_fract_z
_atom_site_occupancy
Zr1 Zr 0.000 0.000 0.216 1
In1 In 0.000 0.500 0.000 1
Ru1 Ru 0.000 0.500 0.500 1

***

# 3
# BiAuS2 PBE optimized geometry
# - raw total energy (eV per atom) = -3.631
# - crystal system = orthorhombic
data_BiAuS2
_symmetry_space_group_name_H-M 'C m c m'
_symmetry_Int_Tables_number 63
_symmetry_space_group_name_Hall '-C 2c 2'
_cell_length_a 3.576
_cell_length_b 19.206
_cell_length_c 5.903
_cell_angle_alpha 90.00
_cell_angle_beta 90.00
_cell_angle_gamma 90.00
loop_
_atom_site_label
_atom_site_type_symbol
_atom_site_fract_x
_atom_site_fract_y
_atom_site_fract_z
_atom_site_occupancy
Bi1 Bi 0.000 0.076 0.250 1
Au1 Au 0.000 0.328 0.250 1
S1 S 0.000 0.086 0.750 1
S2 S 0.000 0.208 0.250 1

***

# 4
# TaGaRe3 PBE optimized geometry
# - ΔE to the lowest computed polymorph (meV/atom) = 0.0
# - raw total energy (eV per atom) = -8.884
# - crystal system = cubic
# - formation energy (eV per atom) = 1.561
data_TaGaRe3
_symmetry_space_group_name_H-M 'P m -3 m'
_symmetry_Int_Tables_number 221
_symmetry_space_group_name_Hall '-P 4 2 3'
_cell_length_a 4.476
_cell_length_b 4.476
_cell_length_c 4.476
_cell_angle_alpha 90.00
_cell_angle_beta 90.00
_cell_angle_gamma 90.00
loop_
_atom_site_label
_atom_site_type_symbol
_atom_site_fract_x
_atom_site_fract_y
_atom_site_fract_z
_atom_site_occupancy
Ta1 Ta 0.000 0.000 0.000 1
Ga1 Ga 0.500 0.500 0.500 1
Re1 Re 0.000 0.500 0.500 1

***

# 5
# Sr2MgOs PBE optimized geometry
# - raw total energy (eV per atom) = -3.540
# - crystal system = tetragonal
# - formation energy (eV per atom) = 0.507
data_Sr2MgOs
_symmetry_space_group_name_H-M 'P 4/m m m'
_symmetry_Int_Tables_number 123
_symmetry_space_group_name_Hall '-P 4 2'
_cell_length_a 3.591
_cell_length_b 3.591
_cell_length_c 9.124
_cell_angle_alpha 90.00
_cell_angle_beta 90.00
_cell_angle_gamma 90.00
loop_
_atom_site_label
_atom_site_type_symbol
_atom_site_fract_x
_atom_site_fract_y
_atom_site_fract_z
_atom_site_occupancy
Sr1 Sr 0.000 0.000 0.197 1
Mg1 Mg 0.500 0.500 0.500 1
Os1 Os 0.500 0.500 0.000 1

***

# 6
# Pr8Sm2Hg PBE optimized geometry
# - ΔE to the lowest computed polymorph (meV/atom) = 49.5
# - raw total energy (eV per atom) = -4.352
# - crystal system = monoclinic
# - formation energy (eV per atom) = 0.009
data_Pr8Sm2Hg
_symmetry_space_group_name_H-M 'C 1 2/m 1'
_symmetry_Int_Tables_number 12
_cell_length_a 17.973
_cell_length_b 5.713
_cell_length_c 8.004
_cell_angle_alpha 90.00
_cell_angle_beta 111.27
_cell_angle_gamma 90.00
loop_
_symmetry_equiv_pos_as_xyz
'x,y,z'
'-x,-y,-z'
'-x,y,-z'
'x,-y,z'
'x+1/2,y+1/2,z'
'-x+1/2,-y+1/2,-z'
'-x+1/2,y+1/2,-z'
'x+1/2,-y+1/2,z'
loop_
_atom_site_label
_atom_site_type_symbol
_atom_site_fract_x
_atom_site_fract_y
_atom_site_fract_z
_atom_site_occupancy
Pr1 Pr 0.013 0.000 0.267 1
Pr2 Pr 0.105 0.500 0.929 1
Pr3 Pr 0.164 0.500 0.426 1
Pr4 Pr 0.182 0.000 0.729 1
Sm1 Sm 0.187 0.000 0.159 1
Hg1 Hg 0.000 0.500 0.500 1

***

# 7
# Sr4HgAu PBE optimized geometry
# - ΔE to the lowest computed polymorph (meV/atom) = 819.2
# - raw total energy (eV per atom) = -1.344
# - crystal system = cubic
# - formation energy (eV per atom) = 0.374
data_Sr4HgAu
_symmetry_space_group_name_H-M 'F -4 3 m'
_symmetry_Int_Tables_number 216
_symmetry_space_group_name_Hall 'F -4 2 3'
_cell_length_a 10.081
_cell_length_b 10.081
_cell_length_c 10.081
_cell_angle_alpha 90.00
_cell_angle_beta 90.00
_cell_angle_gamma 90.00
loop_
_atom_site_label
_atom_site_type_symbol
_atom_site_fract_x
_atom_site_fract_y
_atom_site_fract_z
_atom_site_occupancy
Sr1 Sr 0.125 0.125 0.125 1
Hg1 Hg 0.000 0.000 0.500 1
Au1 Au 0.250 0.250 0.750 1